# 1
LiAcPm2Hg4 | GGA-PBE | relaxed

Cell: 5.2749 5.2749 27.5721 Å, 90.00 90.00 120.00°
Space group R-3m (No. 166, hexagonal axes)
Symmetry-distinct sites (fractional):
Li: 0.0000 0.0000 0.0000 [3 per cell]
Ac: 0.0000 0.0000 0.5000 [3 per cell]
Pm: 0.0000 0.0000 0.2593 [6 per cell]
Hg: 0.0000 0.0000 0.1122 [6 per cell]
Hg: 0.0000 0.0000 0.3721 [6 per cell]


# 2
Li2Ac3Pr2Hg4 | GGA-PBE | relaxed

Cell: 5.1603 5.1603 15.0431 Å, 90.00 90.00 120.00°
Space group P-3m1 (No. 164)
Symmetry-distinct sites (fractional):
Li: 0.3333 0.6667 0.1334 [2 per cell]
Ac: 0.0000 0.0000 0.0000 [1 per cell]
Ac: 0.0000 0.0000 0.2478 [2 per cell]
Pr: 0.3333 0.6667 0.5739 [2 per cell]
Hg: 0.3333 0.6667 0.3574 [2 per cell]
Hg: 0.3333 0.6667 0.8738 [2 per cell]


# 3
LiAc2HgPt | GGA-PBE | relaxed

Cell: 8.281 4.503 8.387 Å, 90.00 111.18 90.00°
Space group P2_1/m (No. 11)
Symmetry-distinct sites (fractional):
Li: 0.158 0.250 0.062 [2 per cell]
Ac: 0.153 0.750 0.386 [2 per cell]
Ac: 0.464 0.250 0.784 [2 per cell]
Hg: 0.166 0.750 0.838 [2 per cell]
Pt: 0.404 0.250 0.385 [2 per cell]


| no. | size of the total moment (μB per formula unit) | energy of formation (eV per formula unit) |
| --- | --- | --- |
| 1 | 0.000 | -3.45 |
| 2 | 0.000 | -2.85 |
| 3 | 0.000 | -3.25 |